1.
Crystalline Si2TcIr at its relaxed geometry. Source: the Alexandria database, functional PBE.

Computed properties:
The calculation puts the relative energy among the computed polymorphs at 105.7 kJ/mol of atoms.

Cell lengths 5.6375, 5.6375, 5.6375 Å; angles 142.83, 142.83, 53.58 degrees
With the nearest neighbours (Å) after each atom.
Fractional positions:
Si (0.2436, 0.2436, 0.0000)  1 Ir 2.45, 4 Si 2.54, 1 Tc 2.58
Si (0.7564, 0.7564, 0.0000)  1 Ir 2.45, 4 Si 2.54, 1 Tc 2.58
Tc (0.5000, 0.5000, 0.0000)  4 Ir 2.54, 2 Si 2.58
Ir (0.0000, 0.0000, 0.0000)  2 Si 2.45, 4 Tc 2.54


2.
Crystalline Si2TcIr at its relaxed geometry. Source: the Alexandria database, functional PBE.

Computed properties:
The calculation puts the relative energy among the computed polymorphs at 49.6 kJ/mol of atoms.

Cell lengths 2.7435, 2.7435, 7.5148 Å; angles 90.00, 90.00, 90.00 degrees
With the nearest neighbours (Å) after each atom.
Fractional positions:
Si (0.0000, 0.0000, 0.0000)  4 Ir 2.61, 8 Si 2.74-2.84
Si (0.5000, 0.5000, 0.2761)  4 Tc 2.64, 8 Si 2.74-2.84
Tc (0.0000, 0.0000, 0.5151)  4 Si 2.64, 4 Ir 2.72, 4 Tc 2.74
Ir (0.5000, 0.5000, 0.7683)  4 Si 2.61, 4 Tc 2.72, 4 Ir 2.74


3.
Crystalline Si2TcIr at its relaxed geometry. Source: the Alexandria database, functional PBE.

Computed properties:
The calculation puts the relative energy among the computed polymorphs at 1.3 kJ/mol of atoms.

Cell lengths 4.1917, 4.1917, 2.9852 Å; angles 90.00, 90.00, 90.00 degrees
With the nearest neighbours (Å) after each atom.
Fractional positions:
Si (0.0000, 0.5000, 0.0000)  4 Tc 2.57, 4 Ir 2.57
Si (0.5000, 0.0000, 0.0000)  4 Tc 2.57, 4 Ir 2.57
Tc (0.0000, 0.0000, 0.5000)  8 Si 2.57
Ir (0.5000, 0.5000, 0.5000)  8 Si 2.57


4.
Crystalline SiTcIr at its relaxed geometry. Source: the Alexandria database, functional PBE.

Computed properties:
The calculation puts the relative energy among the computed polymorphs at 6.2 kJ/mol of atoms.

Cell lengths 4.1783, 4.1783, 2.7669 Å; angles 90.00, 90.00, 120.00 degrees
With the nearest neighbours (Å) after each atom.
Fractional positions:
Si (0.0000, 0.0000, 0.0000)  3 Ir 2.41
Tc (0.3333, 0.6667, 0.4828)  6 Si 2.76-2.80, 2 Tc 2.77, 6 Ir 2.78
Ir (0.6667, 0.3333, 0.9825)  3 Si 2.41


5.
Crystalline SiTcIr2 at its relaxed geometry. Source: the Alexandria database, functional PBE.

Cell lengths 4.8710, 4.8710, 4.7247 Å; angles 111.22, 111.22, 33.03 degrees
With the nearest neighbours (Å) after each atom.
Fractional positions:
Si (0.0000, 0.0000, 0.0000)  5 Ir 2.45-2.73, 2 Tc 2.50
Tc (0.7112, 0.7112, 0.3712)  2 Si 2.50, 5 Ir 2.63-2.72, 2 Tc 2.77
Ir (0.2694, 0.2694, 0.8991)  3 Si 2.45-2.73, 2 Tc 2.72
Ir (0.4750, 0.4750, 0.5460)  2 Si 2.49, 3 Tc 2.63-2.67, 2 Ir 2.77


6.
Crystalline Si2TcIr at its relaxed geometry. Source: the Alexandria database, functional PBE.

Computed properties:
The calculation puts the relative energy among the computed polymorphs at 34.6 kJ/mol of atoms.

Cell lengths 5.0397, 5.0397, 5.0397 Å; angles 138.93, 138.93, 59.48 degrees
With the nearest neighbours (Å) after each atom.
Fractional positions:
Si (0.0000, 0.0000, 0.0000)  4 Ir 2.50
Si (0.7500, 0.2500, 0.5000)  4 Tc 2.50
Tc (0.2500, 0.7500, 0.5000)  4 Si 2.50
Ir (0.5000, 0.5000, 0.0000)  4 Si 2.50


Calculated values (eV per formula unit) of E_form (uncorrected) for the records, taken in order: 2.16; -0.16; -2.16; -0.83; -1.09; -0.78.
Calculated values (eV/atom) of final energy for the records, taken in order: -6.9774; -7.5584; -8.0585; -8.4936; -8.6506; -7.7137.